SrTeS2N | the Alexandria database | GGA-PBE | relaxed; DOS at the Fermi energy = 1.2096 states/eV/atom; formation energy without anion corrections = 920 meV/atom; energy = -16.81 eV/cell
1.0
5.6146 0.0000 0.0000
0.0000 5.6146 0.0000
0.0000 0.0000 4.7233
Sr S Te N
1 2 1 1
direct
0.0000 0.0000 0.0000
0.0000 0.5000 0.0000
0.5000 0.0000 0.0000
0.5000 0.5000 0.5000
0.0000 0.0000 0.5000